Arrangement a

Material: Tl6CdHg2
Method: DFT, PBE-GGA
State: relaxed

The structure in extended XYZ format:
```
9
Lattice="6.5883 -1.7824 0.0000 6.5883 1.7824 0.0000 -3.0352 0.0000 11.1352" Properties=species:S:1:pos:R:3 pbc="T T T"
Tl -0.7817 0.0000 3.9310
Tl 2.8127 0.0000 4.5121
Tl 4.1262 0.0000 1.2928
Tl 6.0153 0.0000 9.8425
Tl 7.3288 0.0000 6.6232
Tl 10.9231 0.0000 7.2042
Cd 0.0000 0.0000 0.0000
Hg 2.2042 0.0000 9.0266
Hg 7.9372 0.0000 2.1087
```

Values from the calculation:
magnetization	0.00	Bohr magnetons per cell

---

Arrangement b

Material: Tl6CdHg2
Method: DFT, PBE-GGA
State: relaxed

The structure in extended XYZ format:
```
9
Lattice="3.4314 0.0000 0.0000 -1.7157 2.9717 0.0000 0.0000 0.0000 25.9181" Properties=species:S:1:pos:R:3 pbc="T T T"
Tl 0.0000 0.0000 1.6509
Tl 0.0000 0.0000 7.2918
Tl 0.0000 0.0000 18.6264
Tl 0.0000 0.0000 24.2673
Tl 0.0000 1.9811 10.2832
Tl 0.0000 1.9811 15.6350
Cd 0.0000 0.0000 12.9591
Hg 0.0000 1.9811 4.4729
Hg 0.0000 1.9811 21.4452
```

Values from the calculation:
magnetization	0.00	Bohr magnetons per cell

---

Quick look at relative energies in meV per atom: arrangement a 0; arrangement b 18.

---

Arrangement a

Material: YTlCdHg
Method: DFT, PBE-GGA
State: relaxed

The structure in extended XYZ format:
```
4
Lattice="0.0000 3.6749 3.6749 3.6749 0.0000 3.6749 3.6749 3.6749 0.0000" Properties=species:S:1:pos:R:3 pbc="T T T"
Y 0.0000 0.0000 0.0000
Tl 5.5124 5.5124 5.5124
Cd 3.6749 3.6749 3.6749
Hg 1.8375 1.8375 1.8375
```

Values from the calculation:
magnetization	0.00	Bohr magnetons per cell

---

Arrangement b

Material: YTlCdHg
Method: DFT, PBE-GGA
State: relaxed

The structure in extended XYZ format:
```
4
Lattice="4.2821 0.0000 0.0000 0.0000 4.8132 0.0000 0.0000 0.0000 4.8586" Properties=species:S:1:pos:R:3 pbc="T T T"
Y 0.0000 0.0000 0.0000
Tl 2.1411 2.4066 0.0000
Cd 0.0000 2.4066 2.4293
Hg 2.1411 0.0000 2.4293
```

Values from the calculation:
magnetization	0.00	Bohr magnetons per cell

---

Quick look at relative energies in meV per atom: arrangement a 27; arrangement b 0.

---

Arrangement a

Material: Tm2CdHg3
Method: DFT, PBE-GGA
State: relaxed

The structure in extended XYZ format:
```
12
Lattice="5.0815 0.0000 0.0000 0.0000 8.9668 0.0000 0.0000 0.0000 6.2639" Properties=species:S:1:pos:R:3 pbc="T T T"
Tm 0.0000 1.4552 0.0000
Tm 0.0000 7.5116 3.1320
Tm 2.5407 2.9436 3.6293
Tm 2.5407 6.0232 0.4973
Cd 0.0000 4.4202 1.8733
Cd 0.0000 4.5466 5.0053
Hg 0.0000 1.5332 3.1293
Hg 0.0000 7.4336 6.2613
Hg 2.5407 0.0498 1.7410
Hg 2.5407 3.0419 0.4670
Hg 2.5407 5.9249 3.5990
Hg 2.5407 8.9170 4.8730
```

Values from the calculation:
magnetization	0.00	Bohr magnetons per cell

---

Arrangement b

Material: Tm2CdHg3
Method: DFT, PBE-GGA
State: relaxed

The structure in extended XYZ format:
```
12
Lattice="0.0000 4.9267 8.5141 3.3926 0.0000 8.5141 3.3926 4.9267 0.0000" Properties=species:S:1:pos:R:3 pbc="T T T"
Tm 5.1026 4.9267 8.5141
Tm 1.6963 2.4634 4.2570
Tm 5.0888 7.3901 12.7711
Tm 1.6825 4.9267 8.5141
Cd 3.3926 4.9267 5.6745
Cd 3.3926 4.9267 11.3537
Hg 3.3926 4.9267 2.8521
Hg 3.3926 2.4903 7.0800
Hg 3.3926 2.4903 9.9482
Hg 3.3926 7.3632 7.0800
Hg 3.3926 7.3632 9.9482
Hg 3.3926 4.9267 14.1761
```

Values from the calculation:
magnetization	0.00	Bohr magnetons per cell

---

Quick look at relative energies in meV per atom: arrangement a 0; arrangement b 34.

---

Arrangement a

Material: Tm2Cd2Hg7
Method: DFT, PBE-GGA
State: relaxed

The structure in extended XYZ format:
```
11
Lattice="5.0705 -5.8100 0.0000 5.0705 5.8100 0.0000 -2.7427 0.0000 4.6387" Properties=species:S:1:pos:R:3 pbc="T T T"
Tm 5.0705 3.9263 0.0000
Tm 5.0705 -3.9263 0.0000
Cd 1.9955 0.0000 3.2191
Cd 5.4029 0.0000 1.4196
Hg -1.3714 0.0000 2.3194
Hg 2.4297 2.9949 1.5459
Hg 2.5043 0.0000 0.4629
Hg 4.9686 2.9949 3.0928
Hg 2.4297 -2.9949 1.5459
Hg 4.8941 0.0000 4.1758
Hg 4.9686 -2.9949 3.0928
```

Values from the calculation:
magnetization	0.00	Bohr magnetons per cell

---

Arrangement b

Material: Tm2Cd2Hg7
Method: DFT, PBE-GGA
State: relaxed

The structure in extended XYZ format:
```
11
Lattice="-2.3894 8.1662 3.4339 2.3894 -8.1662 3.4339 2.3894 8.1662 -3.4339" Properties=species:S:1:pos:R:3 pbc="T T T"
Tm 0.0000 3.3968 0.0000
Tm 0.0000 12.9355 0.0000
Cd 0.0000 0.0000 1.5130
Cd 0.0000 8.1662 0.0553
Hg 2.3894 -2.1094 1.4727
Hg 2.3894 5.4186 -0.0454
Hg 2.3894 2.1094 1.4727
Hg 0.0000 5.9158 1.8902
Hg 0.0000 2.7476 3.3885
Hg 0.0000 0.0000 5.5047
Hg 0.0000 10.4166 1.8902
```

Values from the calculation:
magnetization	0.00	Bohr magnetons per cell

---

Quick look at relative energies in meV per atom: arrangement a 26; arrangement b 0.

---

Arrangement a

Material: TmCdHg3
Method: DFT, PBE-GGA
State: relaxed

The structure in extended XYZ format:
```
10
Lattice="7.2213 -2.6201 0.0000 7.2213 2.6201 0.0000 -0.6069 0.0000 6.3865" Properties=species:S:1:pos:R:3 pbc="T T T"
Tm 1.4340 0.0000 1.1518
Tm 12.4016 0.0000 5.2347
Cd 4.0650 0.0000 3.2520
Cd 9.7705 0.0000 3.1345
Hg 1.0139 0.0000 4.2849
Hg 3.7403 0.0000 6.3492
Hg 7.0745 0.0000 1.5528
Hg 6.7611 0.0000 4.8337
Hg 10.0952 0.0000 0.0373
Hg 12.8217 0.0000 2.1015
```

Values from the calculation:
magnetization	0.00	Bohr magnetons per cell

---

Arrangement b

Material: TmCdHg3
Method: DFT, PBE-GGA
State: relaxed

The structure in extended XYZ format:
```
10
Lattice="5.0515 0.0000 0.0000 0.0000 5.0766 0.0000 -2.4537 0.0000 9.1100" Properties=species:S:1:pos:R:3 pbc="T T T"
Tm 0.0177 1.2691 2.7534
Tm 2.5801 3.8074 6.3566
Cd 0.0467 1.2691 6.3314
Cd 2.5511 3.8074 2.7786
Hg 0.0114 3.8074 0.8781
Hg 0.0344 3.8074 4.5270
Hg 0.0689 3.8074 8.1420
Hg 2.5289 1.2691 0.9680
Hg 2.5635 1.2691 4.5830
Hg 2.5864 1.2691 8.2319
```

Values from the calculation:
magnetization	0.00	Bohr magnetons per cell

---

Quick look at relative energies in meV per atom: arrangement a 63; arrangement b 0.

---

Arrangement a

Material: TmCd3Hg
Method: DFT, PBE-GGA
State: relaxed

The structure in extended XYZ format:
```
10
Lattice="2.4585 -14.9643 0.0000 2.4585 14.9643 0.0000 0.0000 0.0000 3.3463" Properties=species:S:1:pos:R:3 pbc="T T T"
Tm 2.4585 9.7697 0.0000
Tm 2.4585 -9.7697 0.0000
Cd 2.4585 12.7348 1.6732
Cd 2.4585 6.8461 1.6732
Cd 2.4585 1.4021 0.0000
Cd 2.4585 -1.4021 0.0000
Cd 2.4585 -6.8461 1.6732
Cd 2.4585 -12.7348 1.6732
Hg 2.4585 3.9951 1.6732
Hg 2.4585 -3.9951 1.6732
```

Values from the calculation:
magnetization	0.00	Bohr magnetons per cell

---

Arrangement b

Material: TmCd3Hg
Method: DFT, PBE-GGA
State: relaxed

The structure in extended XYZ format:
```
10
Lattice="4.8073 0.0000 0.0000 0.0000 7.1071 0.0000 0.0000 0.0000 6.9489" Properties=species:S:1:pos:R:3 pbc="T T T"
Tm 1.2018 1.7768 1.6304
Tm 3.6055 5.3303 5.3184
Cd 1.2018 0.3635 5.1554
Cd 1.2018 3.1901 5.1554
Cd 1.2018 5.3303 3.1643
Cd 3.6055 1.7768 3.7845
Cd 3.6055 3.9170 1.7934
Cd 3.6055 6.7436 1.7934
Hg 1.2018 5.3303 0.2987
Hg 3.6055 1.7768 6.6501
```

Values from the calculation:
magnetization	0.00	Bohr magnetons per cell

---

Quick look at relative energies in meV per atom: arrangement a 10; arrangement b 0.